The following is a DFT calculation (GGA-PBE) of an optimized crystal structure of Y2InBr.

Summary:
ΔE to the lowest computed polymorph: 156 meV/atom
Formation energy (no corrections): -0.59 eV/atom
Magnetization: 0.0 Bohr magnetons per cell

```
data_Y2InBr
_space_group_name_H-M_alt 'C m m m'
_space_group_IT_number 65
_space_group_name_Hall '-C 2 2'
_cell_length_a 3.942
_cell_length_b 5.946
_cell_length_c 9.519
_cell_angle_alpha 90.00
_cell_angle_beta 90.00
_cell_angle_gamma 90.00
loop_
_atom_site_label
_atom_site_type_symbol
_atom_site_fract_x
_atom_site_fract_y
_atom_site_fract_z
Y1 Y 0.000 0.000 0.248
In1 In 0.000 0.500 0.500
Br1 Br 0.000 0.500 0.000
```